Record 1
Material: Rb2Bi3Pd4Pb
Method: DFT, PBE
State: relaxed

Output
**DOS(E_F)**: 4.8 states/eV/f.u.
**Energy of formation from the pure elements**: -0.280 eV per atom

Lattice parameters (Å, degrees): 4.969 4.969 11.150 90.00 90.00 90.00
Positions (direct):
Rb1 0.000 0.500 0.244
Rb2 0.500 0.000 0.756
Bi1 0.000 0.500 0.885
Bi2 0.500 0.000 0.115
Bi3 0.500 0.500 0.500
Pd1 0.000 0.000 0.000
Pd2 0.000 0.500 0.627
Pd3 0.500 0.000 0.373
Pd4 0.500 0.500 0.000
Pb1 0.000 0.000 0.500

***

Record 2
Material: RbBiPd2Pb
Method: DFT, PBE
State: relaxed

Output
**DOS(E_F)**: 2.0 states/eV/f.u.
**Energy of formation from the pure elements**: -0.238 eV per atom

Lattice parameters (Å, degrees): 7.540 4.736 9.739 90.00 107.82 90.00
Positions (direct):
Rb1 0.209 0.250 0.265
Rb2 0.791 0.750 0.735
Bi1 0.273 0.750 0.614
Bi2 0.727 0.250 0.386
Pd1 0.084 0.250 0.580
Pd2 0.420 0.750 0.915
Pd3 0.580 0.250 0.085
Pd4 0.916 0.750 0.420
Pb1 0.223 0.250 0.885
Pb2 0.777 0.750 0.115

***

- energy of formation from the pure elements of number 1 (Rb2Bi3Pd4Pb)?
  -0.280 eV per atom

***

- Number 2 is which compound?
  RbBiPd2Pb